1.
First-principles (GGA-PBE) data for an optimized crystal structure of RbY3Ag2Se6, as listed in Alexandria.

Values from the calculation:
uncorrected formation energy: -1.345 eV/atom
raw total energy: -5.259 eV per atom

The structure in CIF format:
```
data_RbY3Ag2Se6
_space_group_name_H-M_alt 'C 1 2/m 1'
_space_group_IT_number 12
_space_group_name_Hall '-C 2y'
_cell_length_a 20.919
_cell_length_b 4.262
_cell_length_c 9.021
_cell_angle_alpha 90.00
_cell_angle_beta 112.82
_cell_angle_gamma 90.00
loop_
_atom_site_label
_atom_site_type_symbol
_atom_site_fract_x
_atom_site_fract_y
_atom_site_fract_z
Rb1 Rb 0.000 0.000 0.000
Y1 Y 0.000 0.000 0.500
Y2 Y 0.165 0.500 0.809
Ag1 Ag 0.221 0.500 0.231
Se1 Se 0.021 0.500 0.728
Se2 Se 0.148 0.000 0.580
Se3 Se 0.177 0.000 0.052
```

---

2.
First-principles (GGA-PBE) data for an optimized crystal structure of Rb2YAg2Se4, as listed in Alexandria.

Values from the calculation:
uncorrected formation energy: -1.014 eV/atom
raw total energy: -4.129 eV per atom

The structure in CIF format:
```
data_Rb2YAg2Se4
_space_group_name_H-M_alt 'C 1 2/m 1'
_space_group_IT_number 12
_space_group_name_Hall '-C 2y'
_cell_length_a 15.713
_cell_length_b 4.199
_cell_length_c 8.321
_cell_angle_alpha 90.00
_cell_angle_beta 108.68
_cell_angle_gamma 90.00
loop_
_atom_site_label
_atom_site_type_symbol
_atom_site_fract_x
_atom_site_fract_y
_atom_site_fract_z
Rb1 Rb 0.131 0.000 0.064
Y1 Y 0.000 0.000 0.500
Ag1 Ag 0.180 0.500 0.482
Se1 Se 0.012 0.500 0.267
Se2 Se 0.195 0.000 0.689
```

---

3.
First-principles (GGA-PBE) data for an optimized crystal structure of RbYAgSe2, as listed in Alexandria.

Values from the calculation:
uncorrected formation energy: -1.054 eV/atom
raw total energy: -4.504 eV per atom

The structure in CIF format:
```
data_RbYAgSe2
_space_group_name_H-M_alt 'P 1 2/c 1'
_space_group_IT_number 13
_space_group_name_Hall '-P 2yc'
_cell_length_a 7.958
_cell_length_b 5.021
_cell_length_c 8.098
_cell_angle_alpha 90.00
_cell_angle_beta 96.96
_cell_angle_gamma 90.00
loop_
_atom_site_label
_atom_site_type_symbol
_atom_site_fract_x
_atom_site_fract_y
_atom_site_fract_z
Rb1 Rb 0.000 0.106 0.250
Y1 Y 0.500 0.496 0.750
Ag1 Ag 0.500 0.000 0.000
Se1 Se 0.261 0.390 0.972
```

---

- Look up the uncorrected formation energy of the third one.
  -1.054 eV/atom

---

- Look up the uncorrected formation energy of the third one.
  -1.054 eV/atom

---

- Which value of uncorrected formation energy does entry 3 give?
  -1.054 eV/atom

---

- What is the raw total energy in the third record?
  -4.504 eV per atom